# 1
Compound: LaHoH4
Source: the Alexandria database
Functional: PBE-GGA
Structure: optimized geometry

Cell and atoms, written as POSCAR:
```
LaHoH4
1.0
3.777 0.000 0.000
0.000 3.777 0.000
0.000 0.000 5.472
La Ho H
1 1 4
Direct
0.000 0.000 0.000
0.500 0.500 0.500
0.000 0.500 0.276
0.000 0.500 0.724
0.500 0.000 0.276
0.500 0.000 0.724
```

Properties
- total magnetic moment (Bohr magnetons per cell) = 0.000
- E (eV/atom) = -4.49
- SG = P4/mmm (123)


# 2
Compound: La2PmHoH
Source: the Alexandria database
Functional: PBE-GGA
Structure: optimized geometry

Cell and atoms, written as POSCAR:
```
La2PmHoH
1.0
5.215 0.000 0.000
0.000 5.215 0.000
0.000 0.000 5.081
La Pm Ho H
2 1 1 1
Direct
0.000 0.500 0.000
0.500 0.000 0.000
0.000 0.000 0.500
0.500 0.500 0.500
0.500 0.500 0.000
```

Properties
- total magnetic moment (Bohr magnetons per cell) = 0.000
- E (eV/atom) = -4.68
- SG = P4/mmm (123)


# 3
Compound: La2PrHoH
Source: the Alexandria database
Functional: PBE-GGA
Structure: optimized geometry

Cell and atoms, written as POSCAR:
```
La2PrHoH
1.0
5.224 0.000 0.000
0.000 5.224 0.000
0.000 0.000 5.120
La Pr Ho H
2 1 1 1
Direct
0.000 0.500 0.000
0.500 0.000 0.000
0.000 0.000 0.500
0.500 0.500 0.500
0.500 0.500 0.000
```

Properties
- total magnetic moment (Bohr magnetons per cell) = 0.000
- E (eV/atom) = -4.69
- SG = P4/mmm (123)


# 4
Compound: LaPr2HoH
Source: the Alexandria database
Functional: PBE-GGA
Structure: optimized geometry

Cell and atoms, written as POSCAR:
```
LaPr2HoH
1.0
5.198 0.000 0.000
0.000 5.198 0.000
0.000 0.000 5.110
La Pr Ho H
1 2 1 1
Direct
0.000 0.000 0.000
0.000 0.500 0.500
0.500 0.000 0.500
0.500 0.500 0.000
0.500 0.500 0.500
```

Properties
- total magnetic moment (Bohr magnetons per cell) = 0.000
- E (eV/atom) = -4.66
- SG = P4/mmm (123)


# 5
Compound: La2Ho2Sb2H
Source: the Alexandria database
Functional: PBE-GGA
Structure: optimized geometry

Cell and atoms, written as POSCAR:
```
La2Ho2Sb2H
1.0
4.637 0.000 0.000
0.000 4.637 0.000
0.000 0.000 17.140
La Ho Sb H
4 4 4 2
Direct
0.000 0.000 0.177
0.000 0.000 0.823
0.500 0.500 0.323
0.500 0.500 0.677
0.000 0.500 0.000
0.000 0.500 0.500
0.500 0.000 0.000
0.500 0.000 0.500
0.000 0.000 0.371
0.000 0.000 0.629
0.500 0.500 0.129
0.500 0.500 0.871
0.000 0.000 0.000
0.500 0.500 0.500
```

Properties
- total magnetic moment (Bohr magnetons per cell) = 0.000
- E (eV/atom) = -5.23
- SG = I4/mmm (139)


# 6
Compound: La2SmHoH
Source: the Alexandria database
Functional: PBE-GGA
Structure: optimized geometry

Cell and atoms, written as POSCAR:
```
La2SmHoH
1.0
5.211 0.000 0.000
0.000 5.211 0.000
0.000 0.000 5.068
La Sm Ho H
2 1 1 1
Direct
0.000 0.500 0.000
0.500 0.000 0.000
0.000 0.000 0.500
0.500 0.500 0.500
0.500 0.500 0.000
```

Properties
- total magnetic moment (Bohr magnetons per cell) = 0.001
- E (eV/atom) = -4.67
- SG = P4/mmm (123)